Entry 1:
# Pu2SiBPt6

Crystalline Pu2SiBPt6 at its relaxed geometry (GGA-PBE, Alexandria).

Uncorrected formation energy, eV per atom: -0.709
E_tot, eV/atom: -8.410
Magnetization, μB per formula unit: 10.340
DOS(E_F), states/eV per atom: 2.70

Cell lengths 5.702, 8.582, 7.308 Å; angles 90.00, 90.00, 90.00 degrees
Space group Pmmn (No. 59, origin choice 2)
One atom of each set of equivalent atoms:
Pu 0.250 0.035 0.218 [4 per cell]
Si 0.250 0.750 0.804 [2 per cell]
B 0.250 0.250 0.712 [2 per cell]
Pt 0.002 0.750 0.072 [4 per cell]
Pt 0.009 0.750 0.496 [4 per cell]
Pt 0.250 0.001 0.653 [4 per cell]

***

Entry 2:
# LaSbW

Crystalline LaSbW at its relaxed geometry (GGA-PBE, Alexandria).

Uncorrected formation energy, eV per atom: 1.242
E_tot, eV/atom: -6.093
Magnetization, μB per formula unit: 3.670
DOS(E_F), states/eV per atom: 0.87
Energy above the lowest structure with this stoichiometry, meV per atom: 1107

Cell lengths 7.258, 7.258, 7.258 Å; angles 90.00, 90.00, 90.00 degrees
Space group F-43m (No. 216)
One atom of each set of equivalent atoms:
La 0.000 0.000 0.000 [4 per cell]
Sb 0.250 0.250 0.250 [4 per cell]
W 0.250 0.250 0.750 [4 per cell]

***

Entry 3:
# LiDy2ZrAs4

Crystalline LiDy2ZrAs4 at its relaxed geometry (GGA-PBE, Alexandria).

E_tot, eV/atom: -5.848
Magnetization, μB per formula unit: 0.000
Energy of formation, eV per atom: -1.065
DOS(E_F), states/eV per atom: 0.49

Cell lengths 6.825, 3.994, 7.061 Å; angles 90.00, 109.65, 90.00 degrees
Space group P2/m (No. 10)
One atom of each set of equivalent atoms:
Li 0.000 0.000 0.000 [1 per cell]
Dy 0.500 0.000 0.500 [1 per cell]
Dy 0.500 0.500 0.000 [1 per cell]
Zr 0.000 0.500 0.500 [1 per cell]
As 0.235 0.000 0.743 [2 per cell]
As 0.235 0.500 0.251 [2 per cell]

***

Entry 4:
# Rb2GaGeSe4

Crystalline Rb2GaGeSe4 at its relaxed geometry (GGA-PBE, Alexandria).

Uncorrected formation energy, eV per atom: -0.768
E_tot, eV/atom: -3.708
Magnetization, μB per formula unit: 0.001
DOS(E_F), states/eV per atom: 0.66

Cell lengths 6.331, 14.485, 24.143 Å; angles 90.00, 90.00, 90.00 degrees
Space group Fddd (No. 70, origin choice 2)
One atom of each set of equivalent atoms:
Rb 0.125 0.125 0.307 [16 per cell]
Ga 0.125 0.125 0.125 [8 per cell]
Ge 0.125 0.125 0.625 [8 per cell]
Se 0.112 0.279 0.431 [32 per cell]

***

Entry 5:
# Be3Sb

Crystalline Be3Sb at its relaxed geometry (GGA-PBE, Alexandria).

Uncorrected formation energy, eV per atom: 0.850
E_tot, eV/atom: -2.975
Magnetization, μB per formula unit: 0.000
DOS(E_F), states/eV per atom: 0.52
Energy above the lowest structure with this stoichiometry, meV per atom: 460

Cell lengths 6.056, 6.056, 6.056 Å; angles 90.00, 90.00, 90.00 degrees
Space group Fm-3m (No. 225)
One atom of each set of equivalent atoms:
Be 0.000 0.000 0.000 [4 per cell]
Be 0.250 0.250 0.250 [8 per cell]
Sb 0.000 0.000 0.500 [4 per cell]

***

Entry 6:
# BaLiMg14

Crystalline BaLiMg14 at its relaxed geometry (GGA-PBE, Alexandria).

E_tot, eV/atom: -1.577
Magnetization, μB per formula unit: 0.000
Energy of formation, eV per atom: 0.058
DOS(E_F), states/eV per atom: 0.43

Cell lengths 10.588, 6.347, 11.948 Å; angles 90.00, 90.00, 90.00 degrees
Space group Amm2 (No. 38)
One atom of each set of equivalent atoms:
Ba 0.000 0.000 0.000 [2 per cell]
Li 0.000 0.000 0.466 [2 per cell]
Mg 0.000 0.250 0.245 [4 per cell]
Mg 0.237 0.000 0.632 [4 per cell]
Mg 0.262 0.248 0.384 [8 per cell]
Mg 0.270 0.000 0.147 [4 per cell]
Mg 0.500 0.000 0.478 [2 per cell]
Mg 0.500 0.000 0.978 [2 per cell]
Mg 0.500 0.243 0.727 [4 per cell]

***

Entry 7:
# LiMoIBr2

Crystalline LiMoIBr2 at its relaxed geometry (GGA-PBE, Alexandria).

Uncorrected formation energy, eV per atom: 0.194
E_tot, eV/atom: -3.334
Magnetization, μB per formula unit: 4.139
DOS(E_F), states/eV per atom: 0.79

Cell lengths 4.835, 4.835, 5.832 Å; angles 90.00, 90.00, 90.00 degrees
Space group P4/mmm (No. 123)
One atom of each set of equivalent atoms:
Li 0.000 0.000 0.000 [1 per cell]
Mo 0.500 0.500 0.500 [1 per cell]
I 0.000 0.000 0.500 [1 per cell]
Br 0.000 0.500 0.000 [2 per cell]

***

Entry 8:
# NaSrLa2Si

Crystalline NaSrLa2Si at its relaxed geometry (GGA-PBE, Alexandria).

Uncorrected formation energy, eV per atom: 0.543
E_tot, eV/atom: -3.113
Magnetization, μB per formula unit: 0.000
DOS(E_F), states/eV per atom: 1.13
Energy above the lowest structure with this stoichiometry, meV per atom: 0

Cell lengths 5.792, 5.792, 5.099 Å; angles 90.00, 90.00, 90.00 degrees
Space group P4/mmm (No. 123)
One atom of each set of equivalent atoms:
Na 0.000 0.000 0.000 [1 per cell]
Sr 0.500 0.500 0.500 [1 per cell]
La 0.000 0.500 0.000 [2 per cell]
Si 0.000 0.000 0.500 [1 per cell]

***

Entry 9:
# K2CaMo

Crystalline K2CaMo at its relaxed geometry (GGA-PBE, Alexandria).

E_tot, eV/atom: -2.606
Magnetization, μB per formula unit: 4.059
Energy of formation, eV per atom: 1.151
DOS(E_F), states/eV per atom: 0.83
Energy above the lowest structure with this stoichiometry, meV per atom: 206

Cell lengths 7.007, 13.475, 3.751 Å; angles 90.00, 118.39, 90.00 degrees
Space group C2/m (No. 12)
One atom of each set of equivalent atoms:
K 0.250 0.250 0.000 [4 per cell]
Ca 0.000 0.000 0.500 [2 per cell]
Mo 0.000 0.500 0.500 [2 per cell]

***

Entry 10:
# CaZr3H

Crystalline CaZr3H at its relaxed geometry (GGA-PBE, Alexandria).

E_tot, eV/atom: -6.099
Magnetization, μB per formula unit: 0.000
DOS(E_F), states/eV per atom: 1.42
Energy above the lowest structure with this stoichiometry, meV per atom: 0

Cell lengths 4.662, 4.662, 4.662 Å; angles 90.00, 90.00, 90.00 degrees
Space group Pm-3m (No. 221)
One atom of each set of equivalent atoms:
Ca 0.000 0.000 0.000 [1 per cell]
Zr 0.000 0.500 0.500 [3 per cell]
H 0.500 0.500 0.500 [1 per cell]

***

Entry 11:
# Tb2PmCdHg4

Crystalline Tb2PmCdHg4 at its relaxed geometry (GGA-PBE, Alexandria).

E_tot, eV/atom: -2.439
Magnetization, μB per formula unit: 0.000
Energy of formation, eV per atom: -0.422
DOS(E_F), states/eV per atom: 0.74

Cell lengths 5.1564, 5.1564, 26.6702 Å; angles 90.00, 90.00, 120.00 degrees
Space group R-3m (No. 166, hexagonal axes)
One atom of each set of equivalent atoms:
Tb 0.0000 0.0000 0.2407 [6 per cell]
Pm 0.0000 0.0000 0.0000 [3 per cell]
Cd 0.0000 0.0000 0.5000 [3 per cell]
Hg 0.0000 0.0000 0.1232 [6 per cell]
Hg 0.0000 0.0000 0.3734 [6 per cell]

***

Entry 12:
# Tc4As5

Crystalline Tc4As5 at its relaxed geometry (GGA-PBE, Alexandria).

E_tot, eV/atom: -6.963
Magnetization, μB per formula unit: 0.000
Energy of formation, eV per atom: 0.227
DOS(E_F), states/eV per atom: 0.74
Energy above the lowest structure with this stoichiometry, meV per atom: 0

Cell lengths 7.5586, 7.5586, 5.7115 Å; angles 90.00, 90.00, 120.00 degrees
Space group P6_3/mcm (No. 193)
One atom of each set of equivalent atoms:
Tc 0.0000 0.0000 0.0000 [2 per cell]
Tc 0.0000 0.3846 0.2500 [6 per cell]
As 0.0000 0.2825 0.7500 [6 per cell]
As 0.3333 0.6667 0.0000 [4 per cell]

***

Among the records above, which one has the highest magnetization?
Pu2SiBPt6